Entry 1:
# K3Zn2PdO6 PBE-GGA relaxed
# Raw total energy: -52.07 eV for the cell shown
# Uncorrected formation energy: -0.94 eV/atom
data_K3Zn2PdO6
_space_group_name_H-M_alt 'P 1'
_space_group_IT_number 1
_cell_length_a 5.924
_cell_length_b 5.924
_cell_length_c 6.884
_cell_angle_alpha 90.00
_cell_angle_beta 90.00
_cell_angle_gamma 120.00
loop_
_space_group_symop_operation_xyz
'x,y,z'
loop_
_atom_site_label
_atom_site_type_symbol
_atom_site_fract_x
_atom_site_fract_y
_atom_site_fract_z
K1 K 0.000 0.000 0.000
K2 K 0.333 0.667 0.770
K3 K 0.667 0.333 0.230
Zn1 Zn 0.333 0.667 0.347
Zn2 Zn 0.667 0.333 0.653
Pd1 Pd 0.000 0.000 0.500
O1 O 0.153 0.307 0.311
O2 O 0.153 0.847 0.311
O3 O 0.307 0.153 0.689
O4 O 0.693 0.847 0.311
O5 O 0.847 0.153 0.689
O6 O 0.847 0.693 0.689

Entry 2:
# BaTcOsO6 PBE-GGA relaxed
# Raw total energy: -134.26 eV for the cell shown
# Uncorrected formation energy: -1.54 eV/atom
data_BaTcOsO6
_space_group_name_H-M_alt 'P 1'
_space_group_IT_number 1
_cell_length_a 7.207
_cell_length_b 7.207
_cell_length_c 7.207
_cell_angle_alpha 120.13
_cell_angle_beta 119.90
_cell_angle_gamma 89.97
loop_
_space_group_symop_operation_xyz
'x,y,z'
loop_
_atom_site_label
_atom_site_type_symbol
_atom_site_fract_x
_atom_site_fract_y
_atom_site_fract_z
Ba1 Ba 0.379 0.129 0.250
Ba2 Ba 0.621 0.871 0.750
Tc1 Tc 0.000 0.500 0.500
Tc2 Tc 0.500 0.500 0.000
Os1 Os 0.000 0.000 0.500
Os2 Os 0.000 0.500 0.000
O1 O 0.071 0.428 0.248
O2 O 0.071 0.823 0.643
O3 O 0.076 0.826 0.250
O4 O 0.320 0.177 0.748
O5 O 0.320 0.572 0.143
O6 O 0.327 0.577 0.750
O7 O 0.673 0.423 0.250
O8 O 0.680 0.428 0.857
O9 O 0.680 0.823 0.252
O10 O 0.924 0.174 0.750
O11 O 0.929 0.177 0.357
O12 O 0.929 0.572 0.752

Entry 3:
# NaCeBiAu PBE-GGA relaxed
# Formation energy: -0.540 eV per atom
# Raw total energy: -16.57 eV for the cell shown
data_NaCeBiAu
_space_group_name_H-M_alt 'P 1'
_space_group_IT_number 1
_cell_length_a 5.338
_cell_length_b 5.338
_cell_length_c 5.338
_cell_angle_alpha 60.00
_cell_angle_beta 60.00
_cell_angle_gamma 60.00
loop_
_space_group_symop_operation_xyz
'x,y,z'
loop_
_atom_site_label
_atom_site_type_symbol
_atom_site_fract_x
_atom_site_fract_y
_atom_site_fract_z
Na1 Na 0.000 0.000 0.000
Ce1 Ce 0.500 0.500 0.500
Bi1 Bi 0.750 0.750 0.750
Au1 Au 0.250 0.250 0.250

Entry 4:
# CrIn2Si PBE-GGA relaxed
# Polymorph energy (0 for the lowest one): 211 meV/atom
# Raw total energy: -18.79 eV for the cell shown
# Uncorrected formation energy: 0.43 eV/atom
data_CrIn2Si
_space_group_name_H-M_alt 'P 1'
_space_group_IT_number 1
_cell_length_a 5.323
_cell_length_b 5.323
_cell_length_c 5.323
_cell_angle_alpha 133.80
_cell_angle_beta 133.80
_cell_angle_gamma 67.40
loop_
_space_group_symop_operation_xyz
'x,y,z'
loop_
_atom_site_label
_atom_site_type_symbol
_atom_site_fract_x
_atom_site_fract_y
_atom_site_fract_z
Cr1 Cr 0.000 0.000 0.000
In1 In 0.250 0.750 0.500
In2 In 0.750 0.250 0.500
Si1 Si 0.500 0.500 0.000

Entry 5:
# Na2Dy3TmSe6 PBE-GGA relaxed
# Raw total energy: -62.29 eV for the cell shown
# Uncorrected formation energy: -1.71 eV/atom
data_Na2Dy3TmSe6
_space_group_name_H-M_alt 'P 1'
_space_group_IT_number 1
_cell_length_a 7.080
_cell_length_b 7.080
_cell_length_c 7.147
_cell_angle_alpha 99.48
_cell_angle_beta 99.48
_cell_angle_gamma 119.93
loop_
_space_group_symop_operation_xyz
'x,y,z'
loop_
_atom_site_label
_atom_site_type_symbol
_atom_site_fract_x
_atom_site_fract_y
_atom_site_fract_z
Na1 Na 0.166 0.834 0.000
Na2 Na 0.834 0.166 0.000
Dy1 Dy 0.000 0.000 0.500
Dy2 Dy 0.330 0.670 0.500
Dy3 Dy 0.670 0.330 0.500
Tm1 Tm 0.500 0.500 0.000
Se1 Se 0.090 0.417 0.749
Se2 Se 0.259 0.259 0.255
Se3 Se 0.417 0.090 0.749
Se4 Se 0.583 0.910 0.251
Se5 Se 0.741 0.741 0.745
Se6 Se 0.910 0.583 0.251

Entry 6:
# Tm2FeCo2 PBE-GGA relaxed
# Formation energy: -0.225 eV per atom
# Raw total energy: -65.48 eV for the cell shown
data_Tm2FeCo2
_space_group_name_H-M_alt 'P 1'
_space_group_IT_number 1
_cell_length_a 5.259
_cell_length_b 5.259
_cell_length_c 7.306
_cell_angle_alpha 101.16
_cell_angle_beta 101.16
_cell_angle_gamma 60.73
loop_
_space_group_symop_operation_xyz
'x,y,z'
loop_
_atom_site_label
_atom_site_type_symbol
_atom_site_fract_x
_atom_site_fract_y
_atom_site_fract_z
Tm1 Tm 0.017 0.281 0.149
Tm2 Tm 0.281 0.017 0.649
Tm3 Tm 0.719 0.983 0.351
Tm4 Tm 0.983 0.719 0.851
Fe1 Fe 0.380 0.620 0.250
Fe2 Fe 0.620 0.380 0.750
Co1 Co 0.229 0.503 0.499
Co2 Co 0.497 0.771 0.001
Co3 Co 0.503 0.229 0.999
Co4 Co 0.771 0.497 0.501